<w>
This record from Alexandria describes a relaxed MgTcS2Cl crystal. The functional is PBE.

```
MgTcS2Cl
1.0
4.850 0.000 0.000
0.000 4.850 0.000
0.000 0.000 4.649
Mg Tc S Cl
1 1 2 1
direct
0.000 0.000 0.000
0.500 0.500 0.500
0.000 0.500 0.000
0.500 0.000 0.000
0.000 0.000 0.500
```

Calculated values
**SG**: P4/mmm



<x>
This record from Alexandria describes a relaxed MgTcS2Cl crystal. The functional is PBE.

```
MgTcS2Cl
1.0
4.603 0.000 0.000
0.000 4.603 0.000
0.000 0.000 5.012
Mg Tc S Cl
1 1 2 1
direct
0.000 0.000 0.000
0.500 0.500 0.500
0.000 0.500 0.500
0.500 0.000 0.500
0.500 0.500 0.000
```

Calculated values
**SG**: P4/mmm



Pick <x>: it beats the second-best structure by 43.4 kJ/mol of atoms.



<w>
This record from Alexandria describes a relaxed MgTiSCl2 crystal. The functional is PBE.

```
MgTiSCl2
1.0
4.842 0.000 0.000
0.000 4.842 0.000
0.000 0.000 4.837
Mg Ti S Cl
1 1 1 2
direct
0.000 0.000 0.000
0.500 0.500 0.500
0.500 0.500 0.000
0.000 0.500 0.500
0.500 0.000 0.500
```

Calculated values
**SG**: P4/mmm



<x>
This record from Alexandria describes a relaxed MgTiSCl2 crystal. The functional is PBE.

```
MgTiSCl2
1.0
4.632 0.000 0.000
0.000 4.632 0.000
0.000 0.000 5.225
Mg Ti S Cl
1 1 1 2
direct
0.000 0.000 0.000
0.500 0.500 0.500
0.000 0.000 0.500
0.000 0.500 0.000
0.500 0.000 0.000
```

Calculated values
**SG**: P4/mmm



Pick <w>: it beats the second-best structure by 24.8 kJ/mol of atoms.



<w>
This record from Alexandria describes a relaxed MgTiS2Cl crystal. The functional is PBE.

```
MgTiS2Cl
1.0
4.770 0.000 0.000
0.000 4.770 0.000
0.000 0.000 4.694
Mg Ti S Cl
1 1 2 1
direct
0.000 0.000 0.000
0.500 0.500 0.500
0.000 0.500 0.500
0.500 0.000 0.500
0.500 0.500 0.000
```

Calculated values
**SG**: P4/mmm



<x>
This record from Alexandria describes a relaxed MgTiS2Cl crystal. The functional is PBE.

```
MgTiS2Cl
1.0
4.804 0.000 0.000
0.000 4.804 0.000
0.000 0.000 4.609
Mg Ti S Cl
1 1 2 1
direct
0.000 0.000 0.000
0.500 0.500 0.500
0.000 0.500 0.000
0.500 0.000 0.000
0.000 0.000 0.500
```

Calculated values
**SG**: P4/mmm



Pick <w>: it beats the second-best structure by 50.9 kJ/mol of atoms.



<w>
This record from Alexandria describes a relaxed MgTlS2Cl crystal. The functional is PBE.

```
MgTlS2Cl
1.0
4.968 0.000 0.000
0.000 4.968 0.000
0.000 0.000 5.107
Mg Tl S Cl
1 1 2 1
direct
0.000 0.000 0.000
0.500 0.500 0.500
0.000 0.500 0.000
0.500 0.000 0.000
0.000 0.000 0.500
```

Calculated values
**SG**: P4/mmm



<x>
This record from Alexandria describes a relaxed MgTlS2Cl crystal. The functional is PBE.

```
MgTlS2Cl
1.0
5.140 0.000 0.000
0.000 5.140 0.000
0.000 0.000 5.204
Mg Tl S Cl
1 1 2 1
direct
0.000 0.000 0.000
0.500 0.500 0.500
0.000 0.500 0.500
0.500 0.000 0.500
0.500 0.500 0.000
```

Calculated values
**SG**: P4/mmm



Pick <w>: it beats the second-best structure by 51.4 kJ/mol of atoms.



<w>
This record from Alexandria describes a relaxed MgVSCl2 crystal. The functional is PBE.

```
MgVSCl2
1.0
4.634 0.000 0.000
0.000 4.634 0.000
0.000 0.000 5.228
Mg V S Cl
1 1 1 2
direct
0.000 0.000 0.000
0.500 0.500 0.500
0.000 0.000 0.500
0.000 0.500 0.000
0.500 0.000 0.000
```

Calculated values
**SG**: P4/mmm



<x>
This record from Alexandria describes a relaxed MgVSCl2 crystal. The functional is PBE.

```
MgVSCl2
1.0
4.786 0.000 0.000
0.000 4.786 0.000
0.000 0.000 4.771
Mg V S Cl
1 1 1 2
direct
0.000 0.000 0.000
0.500 0.500 0.500
0.500 0.500 0.000
0.000 0.500 0.500
0.500 0.000 0.500
```

Calculated values
**SG**: P4/mmm



Pick <x>: it beats the second-best structure by 22.2 kJ/mol of atoms.



<w>
This record from Alexandria describes a relaxed MgVS2Cl crystal. The functional is PBE.

```
MgVS2Cl
1.0
4.672 0.000 0.000
0.000 4.672 0.000
0.000 0.000 4.737
Mg V S Cl
1 1 2 1
direct
0.000 0.000 0.000
0.500 0.500 0.500
0.000 0.500 0.500
0.500 0.000 0.500
0.500 0.500 0.000
```

Calculated values
**SG**: P4/mmm



<x>
This record from Alexandria describes a relaxed MgVS2Cl crystal. The functional is PBE.

```
MgVS2Cl
1.0
4.831 0.000 0.000
0.000 4.831 0.000
0.000 0.000 4.619
Mg V S Cl
1 1 2 1
direct
0.000 0.000 0.000
0.500 0.500 0.500
0.000 0.500 0.000
0.500 0.000 0.000
0.000 0.000 0.500
```

Calculated values
**SG**: P4/mmm



Pick <w>: it beats the second-best structure by 48.5 kJ/mol of atoms.



<w>
This record from Alexandria describes a relaxed MgWSCl2 crystal. The functional is PBE.

```
MgWSCl2
1.0
4.897 0.000 0.000
0.000 4.897 0.000
0.000 0.000 4.649
Mg W S Cl
1 1 1 2
direct
0.000 0.000 0.000
0.500 0.500 0.500
0.500 0.500 0.000
0.000 0.500 0.500
0.500 0.000 0.500
```

Calculated values
**SG**: P4/mmm



<x>
This record from Alexandria describes a relaxed MgWSCl2 crystal. The functional is PBE.

```
MgWSCl2
1.0
4.560 0.000 0.000
0.000 4.560 0.000
0.000 0.000 5.364
Mg W S Cl
1 1 1 2
direct
0.000 0.000 0.000
0.500 0.500 0.500
0.000 0.000 0.500
0.000 0.500 0.000
0.500 0.000 0.000
```

Calculated values
**SG**: P4/mmm



Pick <w>: it beats the second-best structure by 36.2 kJ/mol of atoms.



<w>
This record from Alexandria describes a relaxed MgWS2Cl crystal. The functional is PBE.

```
MgWS2Cl
1.0
4.673 0.000 0.000
0.000 4.673 0.000
0.000 0.000 4.960
Mg W S Cl
1 1 2 1
direct
0.000 0.000 0.000
0.500 0.500 0.500
0.000 0.500 0.500
0.500 0.000 0.500
0.500 0.500 0.000
```

Calculated values
**SG**: P4/mmm



<x>
This record from Alexandria describes a relaxed MgWS2Cl crystal. The functional is PBE.

```
MgWS2Cl
1.0
4.841 0.000 0.000
0.000 4.841 0.000
0.000 0.000 4.453
Mg W S Cl
1 1 2 1
direct
0.000 0.000 0.000
0.500 0.500 0.500
0.000 0.500 0.000
0.500 0.000 0.000
0.000 0.000 0.500
```

Calculated values
**SG**: P4/mmm



Pick <w>: it beats the second-best structure by 72.2 kJ/mol of atoms.